1.
Material: OsWBr2
Method: DFT, GGA-PBE
State: relaxed

Geometry as POSCAR:
```
OsWBr2
1.0
1.544 0.892 8.727
-1.544 0.892 8.727
0.000 -1.783 8.727
Os W Br
1 1 2
Direct
0.000 0.000 0.000
0.500 0.500 0.500
0.092 0.092 0.092
0.908 0.908 0.908
```

Values from the calculation:
Spin magnetization ... 0.000 μB/atom
DFT total energy ... -22.8 eV per formula unit
SG ... R-3m (166)
Energy relative to the elements, uncorrected ... 4.679 eV/f.u.
E above lowest polymorph ... 961.2 meV/atom

---

2.
Material: MgMnSe2
Method: DFT, GGA-PBE
State: relaxed

Geometry as POSCAR:
```
MgMnSe2
1.0
-2.863 2.863 5.583
2.863 -2.863 5.583
2.863 2.863 -5.583
Mg Mn Se
2 2 4
Direct
0.000 0.000 0.000
0.750 0.250 0.500
0.250 0.750 0.500
0.500 0.500 0.000
0.167 0.625 0.042
0.375 0.417 0.542
0.583 0.125 0.958
0.875 0.833 0.458
```

Values from the calculation:
Spin magnetization ... 0.035 μB/atom
DFT total energy ... -19.0 eV per formula unit
SG ... I-42d (122)
Energy relative to the elements, uncorrected ... -1.305 eV/f.u.

---

3.
Material: PrSm3Ag2
Method: DFT, GGA-PBE
State: relaxed

Geometry as POSCAR:
```
PrSm3Ag2
1.0
3.709 0.000 0.000
0.000 3.709 0.000
0.000 0.000 12.582
Pr Sm Ag
1 3 2
Direct
0.000 0.000 0.000
0.500 0.500 0.206
0.500 0.500 0.500
0.500 0.500 0.794
0.000 0.000 0.352
0.000 0.000 0.648
```

Values from the calculation:
Spin magnetization ... 0.000 μB/atom
DFT total energy ... -25.7 eV per formula unit
SG ... P4/mmm (123)

---

4.
Material: CaPm6Ho
Method: DFT, GGA-PBE
State: relaxed

Geometry as POSCAR:
```
CaPm6Ho
1.0
5.164 0.000 0.000
0.000 5.164 0.000
0.000 0.000 10.346
Ca Pm Ho
1 6 1
Direct
0.000 0.000 0.000
0.000 0.500 0.257
0.000 0.500 0.743
0.500 0.000 0.257
0.500 0.000 0.743
0.500 0.500 0.000
0.500 0.500 0.500
0.000 0.000 0.500
```

Values from the calculation:
Spin magnetization ... 0.000 μB/atom
DFT total energy ... -34.7 eV per formula unit
SG ... P4/mmm (123)

---

5.
Material: PuZn2Pb
Method: DFT, GGA-PBE
State: relaxed

Geometry as POSCAR:
```
PuZn2Pb
1.0
3.557 0.000 0.000
0.000 3.557 0.000
0.000 0.000 7.293
Pu Zn Pb
1 2 1
Direct
0.000 0.000 0.000
0.500 0.500 0.250
0.500 0.500 0.750
0.000 0.000 0.500
```

Values from the calculation:
Spin magnetization ... 1.458 μB/atom
DFT total energy ... -20.5 eV per formula unit
SG ... P4/mmm (123)
E above lowest polymorph ... 55.4 meV/atom

---

6.
Material: LiTePO5
Method: DFT, GGA-PBE
State: relaxed

Geometry as POSCAR:
```
LiTePO5
1.0
9.021 0.000 0.000
0.000 6.810 0.000
0.000 0.000 7.290
Li Te P O
4 4 4 20
Direct
0.000 0.000 0.000
0.000 0.500 0.000
0.500 0.000 0.500
0.500 0.500 0.500
0.142 0.250 0.281
0.358 0.750 0.781
0.642 0.250 0.219
0.858 0.750 0.719
0.124 0.750 0.368
0.376 0.250 0.868
0.624 0.750 0.132
0.876 0.250 0.632
0.028 0.250 0.529
0.029 0.750 0.860
0.127 0.568 0.237
0.127 0.932 0.237
0.241 0.250 0.996
0.259 0.750 0.496
0.373 0.068 0.737
0.373 0.432 0.737
0.471 0.250 0.360
0.472 0.750 0.029
0.528 0.250 0.971
0.529 0.750 0.640
0.627 0.568 0.263
0.627 0.932 0.263
0.741 0.250 0.504
0.759 0.750 0.004
0.873 0.068 0.763
0.873 0.432 0.763
0.971 0.250 0.140
0.972 0.750 0.471
```

Values from the calculation:
Spin magnetization ... 0.000 μB/atom
DFT total energy ... -49.5 eV per formula unit
SG ... Pnma (62)
Energy relative to the elements, uncorrected ... -14.240 eV/f.u.

---

7.
Material: YAl11Ni
Method: DFT, GGA-PBE
State: relaxed

Geometry as POSCAR:
```
YAl11Ni
1.0
2.570 -6.270 0.000
2.570 6.270 0.000
-2.248 0.000 6.836
Y Al Ni
1 11 1
Direct
0.000 0.000 0.000
0.000 0.000 0.500
0.000 0.500 0.000
0.008 0.356 0.359
0.286 0.500 0.771
0.356 0.008 0.359
0.500 0.000 0.000
0.500 0.286 0.771
0.500 0.714 0.229
0.644 0.992 0.641
0.714 0.500 0.229
0.992 0.644 0.641
0.500 0.500 0.500
```

Values from the calculation:
Spin magnetization ... 0.000 μB/atom
DFT total energy ... -55.9 eV per formula unit
SG ... C2/m (12)

---

8.
Material: TiCdS3
Method: DFT, GGA-PBE
State: relaxed

Geometry as POSCAR:
```
TiCdS3
1.0
4.720 0.000 0.000
0.000 4.720 0.000
0.000 0.000 4.720
Ti Cd S
1 1 3
Direct
0.000 0.000 0.000
0.500 0.500 0.500
0.000 0.000 0.500
0.000 0.500 0.000
0.500 0.000 0.000
```

Values from the calculation:
Spin magnetization ... 0.000 μB/atom
DFT total energy ... -23.5 eV per formula unit
SG ... Pm-3m (221)
Energy relative to the elements, uncorrected ... -2.354 eV/f.u.

---

9.
Material: Be2Nb2Al
Method: DFT, GGA-PBE
State: relaxed

Geometry as POSCAR:
```
Be2Nb2Al
1.0
6.173 0.000 0.000
0.000 6.173 0.000
0.000 0.000 7.138
Be Nb Al
8 8 4
Direct
0.119 0.381 0.250
0.119 0.381 0.750
0.381 0.881 0.250
0.381 0.881 0.750
0.619 0.119 0.250
0.619 0.119 0.750
0.881 0.619 0.250
0.881 0.619 0.750
0.156 0.694 0.000
0.194 0.656 0.500
0.306 0.156 0.000
0.344 0.194 0.500
0.656 0.806 0.500
0.694 0.844 0.000
0.806 0.344 0.500
0.844 0.306 0.000
0.000 0.000 0.280
0.000 0.000 0.720
0.500 0.500 0.220
0.500 0.500 0.780
```

Values from the calculation:
Spin magnetization ... 0.000 μB/atom
DFT total energy ... -32.7 eV per formula unit
SG ... P4/mnc (128)
E above lowest polymorph ... 0.0 meV/atom

---

10.
Material: La2TbDy5Tm
Method: DFT, GGA-PBE
State: relaxed

Geometry as POSCAR:
```
La2TbDy5Tm
1.0
2.824 -9.920 0.000
2.824 9.920 0.000
0.000 0.000 10.722
La Tb Dy Tm
4 2 10 2
Direct
0.113 0.887 0.500
0.116 0.884 0.084
0.884 0.116 0.584
0.887 0.113 0.000
0.413 0.587 0.228
0.587 0.413 0.728
0.016 0.984 0.789
0.281 0.719 0.077
0.299 0.701 0.473
0.386 0.614 0.787
0.481 0.519 0.506
0.519 0.481 0.006
0.614 0.386 0.287
0.701 0.299 0.973
0.719 0.281 0.577
0.984 0.016 0.289
0.200 0.800 0.778
0.800 0.200 0.278
```

Values from the calculation:
Spin magnetization ... 0.000 μB/atom
DFT total energy ... -40.7 eV per formula unit
SG ... Cmc2_1 (36)

---

11.
Material: ScSnRuAu
Method: DFT, GGA-PBE
State: relaxed

Geometry as POSCAR:
```
ScSnRuAu
1.0
0.000 3.307 3.307
3.307 0.000 3.307
3.307 3.307 0.000
Sc Sn Ru Au
1 1 1 1
Direct
0.000 0.000 0.000
0.500 0.500 0.500
0.250 0.250 0.250
0.750 0.750 0.750
```

Values from the calculation:
Spin magnetization ... 0.000 μB/atom
DFT total energy ... -24.4 eV per formula unit
SG ... F-43m (216)

---

12.
Material: EuPuBi2
Method: DFT, GGA-PBE
State: relaxed

Geometry as POSCAR:
```
EuPuBi2
1.0
3.729 0.000 0.000
0.000 3.729 0.000
0.000 0.000 8.831
Eu Pu Bi
1 1 2
Direct
0.000 0.000 0.000
0.000 0.000 0.500
0.500 0.500 0.257
0.500 0.500 0.743
```

Values from the calculation:
Spin magnetization ... 3.243 μB/atom
DFT total energy ... -34.5 eV per formula unit
SG ... P4/mmm (123)
E above lowest polymorph ... 0.0 meV/atom